Record 1
A plane-wave DFT calculation with GGA-PBE was carried out for a relaxed structure of KLi2Nb.

Values from the calculation:
- symmetry = I-42d, No. 122
- energy of formation (eV per formula unit) = 4.5

POSCAR file:
```
KLi2Nb
1.0
8.232 0.000 0.000
0.000 8.232 0.000
0.000 0.000 6.783
K Li Nb
4 8 4
direct
0.000 0.000 0.000
0.000 0.500 0.250
0.500 0.000 0.750
0.500 0.500 0.500
0.226 0.250 0.625
0.250 0.726 0.875
0.250 0.774 0.375
0.274 0.250 0.125
0.726 0.750 0.125
0.750 0.226 0.375
0.750 0.274 0.875
0.774 0.750 0.625
0.000 0.000 0.500
0.000 0.500 0.750
0.500 0.000 0.250
0.500 0.500 0.000
```



Record 2
A plane-wave DFT calculation with GGA-PBE was carried out for a relaxed structure of SrCaZr2Sb.

Values from the calculation:
- symmetry = P4/mmm, No. 123
- final energy (Ry per atom) = -0.27754

POSCAR file:
```
SrCaZr2Sb
1.0
5.235 0.000 0.000
0.000 5.235 0.000
0.000 0.000 5.705
Sr Ca Zr Sb
1 1 2 1
direct
0.000 0.000 0.000
0.000 0.000 0.500
0.000 0.500 0.500
0.500 0.000 0.500
0.500 0.500 0.000
```



Record 3
A plane-wave DFT calculation with GGA-PBE was carried out for a relaxed structure of NpU6S8.

Values from the calculation:
- symmetry = R-3, No. 148
- final energy (Ry per atom) = -0.64078

POSCAR file:
```
NpU6S8
1.0
4.176 2.411 5.194
-4.176 2.411 5.194
0.000 -4.822 5.194
Np U S
1 6 8
direct
0.000 0.000 0.000
0.072 0.467 0.650
0.350 0.928 0.533
0.467 0.650 0.072
0.533 0.350 0.928
0.650 0.072 0.467
0.928 0.533 0.350
0.118 0.823 0.356
0.177 0.644 0.882
0.323 0.323 0.323
0.356 0.118 0.823
0.644 0.882 0.177
0.677 0.677 0.677
0.823 0.356 0.118
0.882 0.177 0.644
```



Record 4
A plane-wave DFT calculation with GGA-PBE was carried out for a relaxed structure of SmZn11Ni.

Values from the calculation:
- symmetry = C2/m, No. 12
- energy of formation (eV per formula unit) = -2.8

POSCAR file:
```
SmZn11Ni
1.0
2.501 -6.372 0.000
2.501 6.372 0.000
-2.423 0.000 6.350
Sm Zn Ni
1 11 1
direct
0.000 0.000 0.000
0.000 0.000 0.500
0.000 0.500 0.000
0.020 0.365 0.361
0.289 0.503 0.777
0.365 0.020 0.361
0.497 0.711 0.223
0.500 0.000 0.000
0.503 0.289 0.777
0.635 0.980 0.639
0.711 0.497 0.223
0.980 0.635 0.639
0.500 0.500 0.500
```



Record 5
A plane-wave DFT calculation with GGA-PBE was carried out for a relaxed structure of KMgRe.

Values from the calculation:
- symmetry = I4mm, No. 107
- energy of formation (eV per formula unit) = 2.7

POSCAR file:
```
KMgRe
1.0
2.780 0.000 0.000
0.000 2.780 0.000
0.000 0.000 16.798
K Mg Re
2 2 2
direct
0.000 0.000 0.000
0.500 0.500 0.500
0.000 0.000 0.296
0.500 0.500 0.796
0.000 0.000 0.669
0.500 0.500 0.169
```



Record 6
A plane-wave DFT calculation with GGA-PBE was carried out for a relaxed structure of V2MoS.

Values from the calculation:
- symmetry = P4/mmm, No. 123
- final energy (Ry per atom) = -0.62328

POSCAR file:
```
V2MoS
1.0
3.176 0.000 0.000
0.000 3.176 0.000
0.000 0.000 5.384
V Mo S
2 1 1
direct
0.000 0.000 0.232
0.000 0.000 0.768
0.500 0.500 0.500
0.500 0.500 0.000
```



Record 7
A plane-wave DFT calculation with GGA-PBE was carried out for a relaxed structure of BaCeAg2Br8.

Values from the calculation:
- symmetry = P-1, No. 2
- final energy (Ry per atom) = -0.26034

POSCAR file:
```
BaCeAg2Br8
1.0
6.970 0.000 0.000
-1.324 7.391 0.000
-0.020 -3.089 8.922
Ba Ce Ag Br
1 1 2 8
direct
0.000 0.000 0.000
0.000 0.000 0.500
0.489 0.662 0.187
0.511 0.338 0.813
0.105 0.755 0.221
0.129 0.788 0.663
0.365 0.238 0.535
0.429 0.265 0.067
0.571 0.735 0.933
0.635 0.762 0.465
0.871 0.212 0.337
0.895 0.245 0.779
```



Record 8
A plane-wave DFT calculation with GGA-PBE was carried out for a relaxed structure of Cd2AsPdF.

Values from the calculation:
- symmetry = P4/mmm, No. 123
- final energy (Ry per atom) = -0.20890

POSCAR file:
```
Cd2AsPdF
1.0
4.654 0.000 0.000
0.000 4.654 0.000
0.000 0.000 4.482
Cd As Pd F
2 1 1 1
direct
0.000 0.500 0.000
0.500 0.000 0.000
0.000 0.000 0.500
0.500 0.500 0.500
0.000 0.000 0.000
```



Record 9
A plane-wave DFT calculation with GGA-PBE was carried out for a relaxed structure of Ce2Al3ZnPt4.

Values from the calculation:
- symmetry = P-4m2, No. 115
- energy of formation (eV per formula unit) = -10.0

POSCAR file:
```
Ce2Al3ZnPt4
1.0
4.188 0.000 0.000
0.000 4.188 0.000
0.000 0.000 10.805
Ce Al Zn Pt
2 3 1 4
direct
0.000 0.500 0.244
0.500 0.000 0.756
0.000 0.000 0.000
0.000 0.500 0.628
0.500 0.000 0.372
0.500 0.500 0.000
0.000 0.000 0.500
0.000 0.500 0.858
0.500 0.000 0.142
0.500 0.500 0.500
```



Record 10
A plane-wave DFT calculation with GGA-PBE was carried out for a relaxed structure of GdPuRe.

Values from the calculation:
- symmetry = I4mm, No. 107
- energy of formation (eV per formula unit) = 0.6

POSCAR file:
```
GdPuRe
1.0
3.366 0.000 0.000
0.000 3.366 0.000
0.000 0.000 12.401
Gd Pu Re
2 2 2
direct
0.000 0.000 0.000
0.500 0.500 0.500
0.000 0.000 0.279
0.500 0.500 0.779
0.000 0.000 0.649
0.500 0.500 0.149
```



Record 11
A plane-wave DFT calculation with GGA-PBE was carried out for a relaxed structure of ZnInGeBi.

Values from the calculation:
- symmetry = F-43m, No. 216
- energy of formation (eV per formula unit) = 0.9

POSCAR file:
```
ZnInGeBi
1.0
7.298 0.000 0.000
0.000 7.298 0.000
0.000 0.000 7.298
Zn In Ge Bi
4 4 4 4
direct
0.000 0.000 0.000
0.000 0.500 0.500
0.500 0.000 0.500
0.500 0.500 0.000
0.250 0.250 0.250
0.250 0.750 0.750
0.750 0.250 0.750
0.750 0.750 0.250
0.000 0.000 0.500
0.000 0.500 0.000
0.500 0.000 0.000
0.500 0.500 0.500
0.250 0.250 0.750
0.250 0.750 0.250
0.750 0.250 0.250
0.750 0.750 0.750
```



Record 12
A plane-wave DFT calculation with GGA-PBE was carried out for a relaxed structure of SrTlInSn.

Values from the calculation:
- symmetry = F-43m, No. 216
- energy of formation (eV per formula unit) = -1.0

POSCAR file:
```
SrTlInSn
1.0
7.897 0.000 0.000
0.000 7.897 0.000
0.000 0.000 7.897
Sr Tl In Sn
4 4 4 4
direct
0.000 0.000 0.000
0.000 0.500 0.500
0.500 0.000 0.500
0.500 0.500 0.000
0.250 0.250 0.750
0.250 0.750 0.250
0.750 0.250 0.250
0.750 0.750 0.750
0.250 0.250 0.250
0.250 0.750 0.750
0.750 0.250 0.750
0.750 0.750 0.250
0.000 0.000 0.500
0.000 0.500 0.000
0.500 0.000 0.000
0.500 0.500 0.500
```